# 1
Mn2Tl3CuCl9: relaxed, PBE.

Computed properties:
Electronic total energy (eV per atom): -4.03

Lattice parameters (Å, degrees): 7.028 7.028 8.611 90.00 90.00 120.00
Positions (direct):
1 Cl 0.167 0.334 0.332
2 Cl 0.500 0.000 0.000
3 Cl 0.167 0.833 0.332
4 Cl 0.666 0.833 0.332
5 Cl 0.833 0.167 0.668
6 Cl 0.500 0.500 0.000
7 Cl 0.833 0.666 0.668
8 Cl 0.334 0.167 0.668
9 Cl 0.000 0.500 0.000
10 Tl 0.667 0.333 0.342
11 Tl 0.333 0.667 0.658
12 Tl 0.000 0.000 0.000
13 Cu 0.000 0.000 0.500
14 Mn 0.333 0.667 0.173
15 Mn 0.667 0.333 0.827

---

# 2
YMn2CuCl: relaxed, PBE.

Computed properties:
Electronic total energy (eV per atom): -5.60

Lattice parameters (Å, degrees): 4.649 5.007 4.649 90.00 90.00 90.00
Positions (direct):
1 Mn 0.000 0.000 0.500
2 Mn 0.500 0.000 0.000
3 Cl 0.000 0.500 0.000
4 Y 0.500 0.500 0.500
5 Cu 0.000 0.000 0.000

---

# 3
Cu2MoCl: relaxed, PBE.

Computed properties:
Electronic total energy (eV per atom): -4.81
Offset from the most stable computed form (meV per atom): 209

Lattice parameters (Å, degrees): 4.355 2.734 4.994 89.67 90.00 90.00
Positions (direct):
1 Cu 0.500 0.132 0.263
2 Cu 0.000 0.122 0.022
3 Mo 0.000 0.625 0.504
4 Cl 0.500 0.621 0.712

---

# 4
Cu2MoCl: relaxed, PBE.

Computed properties:
Electronic total energy (eV per atom): -4.74
Offset from the most stable computed form (meV per atom): 284

Lattice parameters (Å, degrees): 5.564 5.070 2.723 89.98 60.73 114.67
Positions (direct):
1 Mo 0.000 0.500 0.500
2 Cl 0.500 0.500 0.000
3 Cu 0.500 0.000 0.500
4 Cu 0.000 0.000 0.000

---

E_form (uncorrected) in eV per atom, matching the order above: -0.95; 0.55; 0.41; 0.48
Total moment in Bohr magnetons per cell, matching the order above: 9.00; 7.36; 0.00; 0.00
N(E_F) in states/eV per atom, matching the order above: 0.12; 1.37; 0.59; 0.62